(i)
DFT (GGA+U) results for an optimized crystal structure of NaVSiO4.

Calculated values
- Calculated volume: 13.00 A^3/atom
- Crystal system: monoclinic

Cell lengths 5.246, 5.700, 6.514 Å; angles 90.00, 110.81, 90.00 degrees
Positions (direct):
Na (0.186, 0.250, 0.456)
Na (0.814, 0.750, 0.544)
V (0.324, 0.250, 0.985)
V (0.676, 0.750, 0.015)
Si (0.222, 0.750, 0.153)
Si (0.778, 0.250, 0.847)
O (0.003, 0.250, 0.095)
O (0.026, 0.750, 0.299)
O (0.449, 0.533, 0.185)
O (0.449, 0.967, 0.185)
O (0.551, 0.033, 0.815)
O (0.551, 0.467, 0.815)
O (0.974, 0.250, 0.701)
O (0.997, 0.750, 0.905)



(ii)
DFT (GGA+U) results for an optimized crystal structure of NaVSiO4.

Calculated values
- Calculated volume: 11.13 A^3/atom
- Crystal system: orthorhombic

Cell lengths 5.064, 5.064, 6.712 Å; angles 90.00, 90.00, 115.15 degrees
Positions (direct):
Na (0.183, 0.817, 0.750)
Na (0.817, 0.183, 0.250)
V (0.500, 0.500, 0.000)
V (0.500, 0.500, 0.500)
Si (0.162, 0.838, 0.250)
Si (0.838, 0.162, 0.750)
O (0.203, 0.295, 0.750)
O (0.276, 0.724, 0.056)
O (0.276, 0.724, 0.444)
O (0.295, 0.203, 0.250)
O (0.705, 0.797, 0.750)
O (0.724, 0.276, 0.556)
O (0.724, 0.276, 0.944)
O (0.797, 0.705, 0.250)



Stability, highest: (ii)



(i)
DFT (GGA+U) results for an optimized crystal structure of NaVSi2O6.

Calculated values
- Calculated volume: 11.21 A^3/atom
- Crystal system: monoclinic

Cell lengths 6.614, 6.614, 5.386 Å; angles 102.55, 102.55, 84.44 degrees
Positions (direct):
Na (0.201, 0.799, 0.750)
Na (0.799, 0.201, 0.250)
V (0.404, 0.596, 0.250)
V (0.596, 0.404, 0.750)
Si (0.119, 0.298, 0.758)
Si (0.298, 0.119, 0.258)
Si (0.702, 0.881, 0.742)
Si (0.881, 0.702, 0.242)
O (0.116, 0.608, 0.306)
O (0.142, 0.156, 0.982)
O (0.156, 0.142, 0.482)
O (0.305, 0.463, 0.853)
O (0.392, 0.884, 0.194)
O (0.463, 0.305, 0.353)
O (0.537, 0.695, 0.647)
O (0.608, 0.116, 0.806)
O (0.695, 0.537, 0.147)
O (0.844, 0.858, 0.518)
O (0.858, 0.844, 0.018)
O (0.884, 0.392, 0.694)



(ii)
DFT (GGA+U) results for an optimized crystal structure of NaVSi2O6.

Calculated values
- Calculated volume: 11.18 A^3/atom
- Crystal system: monoclinic

Cell lengths 6.760, 6.760, 4.966 Å; angles 96.94, 96.94, 89.01 degrees
Positions (direct):
Na (0.085, 0.915, 0.750)
Na (0.915, 0.085, 0.250)
V (0.274, 0.726, 0.250)
V (0.726, 0.274, 0.750)
Si (0.208, 0.390, 0.720)
Si (0.390, 0.208, 0.220)
Si (0.610, 0.792, 0.780)
Si (0.792, 0.610, 0.280)
O (0.015, 0.247, 0.670)
O (0.173, 0.604, 0.885)
O (0.247, 0.015, 0.170)
O (0.287, 0.405, 0.409)
O (0.396, 0.827, 0.615)
O (0.405, 0.287, 0.909)
O (0.595, 0.713, 0.091)
O (0.604, 0.173, 0.385)
O (0.713, 0.595, 0.591)
O (0.753, 0.985, 0.830)
O (0.827, 0.396, 0.115)
O (0.985, 0.753, 0.330)



Stability, highest: (i)